A plane-wave DFT calculation with GGA-PBE was carried out for a relaxed structure of RbTiP2.

Computed properties:
**Calculated volume**: 324.5 Å³ per cell
**Calculated formation energy**: 1.55 eV/f.u.
**Energy above the most stable polymorph in this dataset**: 804 meV/atom

The structure in CIF format:
```
data_RbTiP2
_chemical_formula_sum 'Rb4 Ti4 P8'
_symmetry_space_group_name_H-M 'F m -3 m'
_symmetry_Int_Tables_number 225
_symmetry_space_group_name_Hall '-F 4 2 3'
_cell_length_a 6.8716
_cell_length_b 6.8716
_cell_length_c 6.8716
_cell_angle_alpha 90.00
_cell_angle_beta 90.00
_cell_angle_gamma 90.00
loop_
_atom_site_label
_atom_site_type_symbol
_atom_site_fract_x
_atom_site_fract_y
_atom_site_fract_z
Rb1 Rb 0.0000 0.0000 0.0000
Ti1 Ti 0.0000 0.0000 0.5000
P1 P 0.2500 0.2500 0.2500
```